# 1
YEr3Hg6 GGA-PBE optimized geometry; magnetization = 0.00 μB per cell; calculated volume = 495.0 Å³ per cell; formation energy = -0.43 eV per atom
1.0
9.1104 0.0000 0.0000
0.0000 5.1327 0.0000
-3.1654 0.0000 10.5851
Y Er Hg
2 6 12
direct
0.0623 0.2500 0.3894
0.9377 0.7500 0.6106
0.2309 0.2500 0.0067
0.3532 0.7500 0.8006
0.4822 0.2500 0.6118
0.5178 0.7500 0.3882
0.6468 0.2500 0.1994
0.7691 0.7500 0.9933
0.0639 0.7500 0.9007
0.1397 0.7500 0.2018
0.1657 0.2500 0.6902
0.2475 0.7500 0.5133
0.3526 0.2500 0.2975
0.4632 0.7500 0.0921
0.5368 0.2500 0.9079
0.6474 0.7500 0.7025
0.7525 0.2500 0.4867
0.8343 0.7500 0.3098
0.8603 0.2500 0.7982
0.9361 0.2500 0.0993


# 2
ThMgGa2Au5 GGA-PBE optimized geometry; magnetization = 0.00 μB per cell; calculated volume = 190.0 Å³ per cell; formation energy = -0.34 eV per atom
1.0
4.9112 0.0000 0.0000
0.0000 4.9112 0.0000
0.0000 0.0000 7.8781
Th Mg Ga Au
1 1 2 5
direct
0.0000 0.0000 0.0000
0.0000 0.0000 0.5000
0.5000 0.5000 0.3440
0.5000 0.5000 0.6560
0.0000 0.5000 0.2453
0.0000 0.5000 0.7547
0.5000 0.0000 0.2453
0.5000 0.0000 0.7547
0.5000 0.5000 0.0000


# 3
TbPuGe GGA-PBE optimized geometry; E above lowest polymorph = 0.09 eV/f.u.; magnetization = 2.40 μB per cell; calculated volume = 276.9 Å³ per cell; formation energy = -0.19 eV per atom
1.0
3.8549 0.0000 0.0000
0.0000 20.6590 0.0000
0.0000 0.0000 3.4775
Tb Pu Ge
4 4 4
direct
0.0000 0.1896 0.2500
0.0000 0.8104 0.7500
0.5000 0.3104 0.7500
0.5000 0.6896 0.2500
0.0000 0.0368 0.2500
0.0000 0.9632 0.7500
0.5000 0.4632 0.7500
0.5000 0.5368 0.2500
0.0000 0.3893 0.2500
0.0000 0.6107 0.7500
0.5000 0.1107 0.7500
0.5000 0.8893 0.2500


# 4
La2TiN4 GGA-PBE optimized geometry; formation energy (no corrections) = -1082 meV per atom; magnetization = 2.53 μB per cell; calculated volume = 201.8 Å³ per cell
1.0
3.9827 0.0000 0.0000
0.0000 3.9827 0.0000
0.0000 0.0000 12.7216
La Ti N
4 2 8
direct
0.0000 0.0000 0.1424
0.0000 0.0000 0.8576
0.5000 0.5000 0.3576
0.5000 0.5000 0.6424
0.0000 0.0000 0.5000
0.5000 0.5000 0.0000
0.0000 0.0000 0.3339
0.0000 0.0000 0.6661
0.0000 0.5000 0.0000
0.0000 0.5000 0.5000
0.5000 0.0000 0.0000
0.5000 0.0000 0.5000
0.5000 0.5000 0.1661
0.5000 0.5000 0.8339


# 5
MgP2OsS GGA-PBE optimized geometry; E above lowest polymorph = 6.47 eV/f.u.; formation energy (no corrections) = 1633 meV per atom; magnetization = 0.00 μB per cell; calculated volume = 95.2 Å³ per cell
1.0
4.5826 0.0000 0.0000
0.0000 4.5826 0.0000
0.0000 0.0000 4.5326
Mg P Os S
1 2 1 1
direct
0.0000 0.0000 0.0000
0.0000 0.5000 0.0000
0.5000 0.0000 0.0000
0.5000 0.5000 0.5000
0.0000 0.0000 0.5000


# 6
LiAcPbAu GGA-PBE optimized geometry; E above lowest polymorph = 0.00 eV/f.u.; magnetization = 0.00 μB per cell; calculated volume = 412.9 Å³ per cell; formation energy = -0.47 eV per atom
1.0
7.4466 0.0000 0.0000
0.0000 7.4466 0.0000
0.0000 0.0000 7.4466
Li Ac Pb Au
4 4 4 4
direct
0.0000 0.0000 0.0000
0.0000 0.5000 0.5000
0.5000 0.0000 0.5000
0.5000 0.5000 0.0000
0.2500 0.2500 0.7500
0.2500 0.7500 0.2500
0.7500 0.2500 0.2500
0.7500 0.7500 0.7500
0.2500 0.2500 0.2500
0.2500 0.7500 0.7500
0.7500 0.2500 0.7500
0.7500 0.7500 0.2500
0.0000 0.0000 0.5000
0.0000 0.5000 0.0000
0.5000 0.0000 0.0000
0.5000 0.5000 0.5000


# 7
Sr3ZnAu GGA-PBE optimized geometry; E above lowest polymorph = 0.00 eV/f.u.; magnetization = 0.00 μB per cell; calculated volume = 361.3 Å³ per cell; formation energy = -0.38 eV per atom
1.0
7.3196 0.0000 0.0000
0.0000 4.4961 0.0000
-0.0503 0.0000 10.9781
Sr Zn Au
6 2 2
direct
0.2302 0.2500 0.2497
0.2516 0.7500 0.5589
0.2525 0.7500 0.9402
0.7475 0.2500 0.0598
0.7484 0.2500 0.4411
0.7698 0.7500 0.7503
0.4486 0.2500 0.7501
0.5514 0.7500 0.2499
0.0836 0.2500 0.7489
0.9164 0.7500 0.2511


# 8
ReMoC2 GGA-PBE optimized geometry; E above lowest polymorph = 0.00 eV/f.u.; magnetization = 0.00 μB per cell; calculated volume = 125.2 Å³ per cell; formation energy = 0.56 eV per atom
1.0
3.1213 0.0000 0.0000
-1.5607 2.7031 0.0000
0.0000 0.0000 14.8377
Re Mo C
3 3 6
direct
0.0000 0.0000 0.0000
0.3333 0.6667 0.6667
0.6667 0.3333 0.3333
0.0000 0.0000 0.5000
0.3333 0.6667 0.1667
0.6667 0.3333 0.8333
0.0000 0.0000 0.2512
0.0000 0.0000 0.7488
0.3333 0.6667 0.4154
0.3333 0.6667 0.9179
0.6667 0.3333 0.0821
0.6667 0.3333 0.5846